! PBE with a Hubbard U AcV2AgO8, optimized geometry; values from VASP
! - Volume: 201.5 Å³/cell
! - Space group: No. 164
! - N(E_F): 1.43 states/eV per cell
! - DFT total energy: -6.846 eV/atom
&SYSTEM
  ibrav = 0, nat = 12, ntyp = 4
/
ATOMIC_SPECIES
Ac 227.00 Ac.upf
V 50.94 V.upf
Ag 107.87 Ag.upf
O 16.00 O.upf
CELL_PARAMETERS angstrom
5.972 0.000 0.000
-2.986 5.172 0.000
0.000 0.000 6.526
ATOMIC_POSITIONS angstrom
Ac 0.000 0.000 0.000
V 0.000 3.448 4.169
V 2.986 1.724 2.357
Ag 0.000 0.000 3.263
O 0.000 1.746 4.733
O -1.474 4.299 4.733
O 0.000 3.448 2.529
O 1.512 0.873 1.793
O 1.474 4.299 4.733
O 2.986 1.724 3.997
O 4.460 0.873 1.793
O 2.986 3.426 1.793